[1]
A plane-wave DFT calculation with PBE was carried out for crystalline Ti8CoN2 at its relaxed geometry.

Cell: 5.3714 6.3144 6.3144 Å, 53.82 79.93 79.93°
Closest atoms and distances in Å follow each position.
Element x y z (fractional)
Ti (0.2749, 0.3428, 0.8371)  1 N 1.98
Ti (0.7251, 0.1629, 0.6572)  1 N 1.98
Ti (0.2851, 0.8179, 0.8179)  1 N 1.94
Ti (0.7149, 0.1821, 0.1821)  1 N 1.94
Ti (0.2749, 0.8371, 0.3428)  1 N 1.98
Ti (0.7251, 0.6572, 0.1629)  1 N 1.98
Ti (0.8100, 0.6315, 0.6315)  1 N 1.94
Ti (0.1900, 0.3685, 0.3685)  1 N 1.94
Co (0.0000, 0.0000, 0.0000)  6 Ti 2.31-2.43
N (0.6518, 0.8015, 0.8015)  4 Ti 1.94-1.98
N (0.3482, 0.1985, 0.1985)  4 Ti 1.94-1.98

***

[2]
A plane-wave DFT calculation with PBE was carried out for crystalline TiCo4N4 at its relaxed geometry.

Cell: 4.8761 5.0026 7.6282 Å, 72.97 82.18 69.62°
Closest atoms and distances in Å follow each position.
Element x y z (fractional)
N (0.9897, 0.7157, 0.5828)  5 Co 1.93-2.07, 1 Ti 2.01
N (0.0103, 0.2843, 0.4172)  5 Co 1.93-2.07, 1 Ti 2.01
N (0.8455, 0.8606, 0.0163)  3 Co 1.81-1.88, 1 Ti 1.96
N (0.1545, 0.1394, 0.9837)  3 Co 1.81-1.88, 1 Ti 1.96
N (0.4581, 0.6305, 0.8129)  4 Co 1.88-2.00, 1 Ti 1.97
N (0.5419, 0.3695, 0.1871)  4 Co 1.88-2.00, 1 Ti 1.97
N (0.5140, 0.7879, 0.4046)  1 Ti 1.98, 5 Co 1.98-2.05
N (0.4860, 0.2121, 0.5954)  1 Ti 1.98, 5 Co 1.98-2.05
Co (0.7598, 0.5966, 0.2170)  4 N 1.81-2.01
Co (0.2402, 0.4034, 0.7830)  4 N 1.81-2.01
Co (0.7481, 0.2734, 0.9577)  4 N 1.88-1.99
Co (0.2519, 0.7266, 0.0423)  4 N 1.88-1.99
Co (0.7476, 0.4550, 0.5980)  4 N 1.93-2.05
Co (0.2524, 0.5450, 0.4020)  4 N 1.93-2.05
Co (0.2565, 0.9517, 0.5986)  5 N 1.96-2.07
Co (0.7435, 0.0483, 0.4014)  5 N 1.96-2.07
Ti (0.7181, 0.8672, 0.7810)  4 N 1.96-2.01
Ti (0.2819, 0.1328, 0.2190)  4 N 1.96-2.01

***

[3]
A plane-wave DFT calculation with PBE was carried out for crystalline Ti2CoN at its relaxed geometry.

Cell: 2.9021 2.9021 7.1293 Å, 78.26 78.26 60.00°
Closest atoms and distances in Å follow each position.
Element x y z (fractional)
N (0.5000, 0.5000, 0.5000)  6 Ti 2.06
Co (0.0000, 0.0000, 0.0000)  2 Ti 2.27
Ti (0.1091, 0.1091, 0.6727)  3 N 2.06, 1 Co 2.27
Ti (0.8909, 0.8909, 0.3273)  3 N 2.06, 1 Co 2.27

***

[4]
A plane-wave DFT calculation with PBE was carried out for crystalline TiCo2N at its relaxed geometry.

Cell: 5.0743 5.0743 5.3833 Å, 61.88 61.88 90.00°
Closest atoms and distances in Å follow each position.
Element x y z (fractional)
N (0.5000, 0.5000, 0.0000)  4 Co 1.77
N (0.2500, 0.7500, 0.5000)  4 Co 1.77
Co (0.5143, 0.1250, 0.2500)  2 N 1.77
Co (0.2357, 0.6250, 0.2500)  2 N 1.77
Co (0.3750, 0.4857, 0.7500)  2 N 1.77
Co (0.8750, 0.7643, 0.7500)  2 N 1.77
Ti (0.0000, 0.0000, 0.0000)  4 Co 2.44
Ti (0.7500, 0.2500, 0.5000)  4 Co 2.44

***

[5]
A plane-wave DFT calculation with PBE was carried out for crystalline Ti7Co3N10 at its relaxed geometry.

Cell: 7.9507 7.9507 7.9507 Å, 143.56 140.77 54.62°
Closest atoms and distances in Å follow each position.
Element x y z (fractional)
Ti (0.0988, 0.6062, 0.5074)  6 N 2.10-2.13
Ti (0.1993, 0.2027, 0.0035)  6 N 2.10-2.13
Ti (0.3985, 0.3897, 0.9912)  6 N 2.07-2.12
Ti (0.5000, 0.9956, 0.4956)  6 N 2.13-2.15
Ti (0.6015, 0.5927, 0.9912)  6 N 2.07-2.12
Ti (0.8007, 0.8042, 0.0035)  6 N 2.10-2.13
Ti (0.9012, 0.4086, 0.5074)  6 N 2.10-2.13
Co (0.0000, 0.0599, 0.0599)  4 N 1.98
Co (0.2969, 0.7988, 0.5020)  6 N 2.08-2.18
Co (0.7031, 0.2051, 0.5020)  6 N 2.08-2.18
N (0.0482, 0.4674, 0.9150)  2 Co 2.08-2.14, 4 Ti 2.10-2.13
N (0.1468, 0.0713, 0.4144)  2 Co 1.98-2.18, 4 Ti 2.10-2.13
N (0.2622, 0.6473, 0.9095)  5 Ti 2.07-2.15
N (0.3432, 0.2677, 0.4144)  2 Co 1.98-2.18, 4 Ti 2.10-2.13
N (0.4477, 0.8668, 0.9150)  2 Co 2.08-2.14, 4 Ti 2.10-2.13
N (0.5523, 0.4674, 0.4192)  2 Co 2.08-2.14, 4 Ti 2.10-2.13
N (0.6568, 0.0713, 0.9245)  2 Co 1.98-2.18, 4 Ti 2.10-2.13
N (0.7378, 0.6473, 0.3851)  5 Ti 2.07-2.15
N (0.8532, 0.2677, 0.9245)  2 Co 1.98-2.18, 4 Ti 2.10-2.13
N (0.9518, 0.8668, 0.4192)  2 Co 2.08-2.14, 4 Ti 2.10-2.13

***

[6]
A plane-wave DFT calculation with PBE was carried out for crystalline TiCoN at its relaxed geometry.

Cell: 3.9966 4.2671 7.6792 Å, 90.00 90.00 90.00°
Closest atoms and distances in Å follow each position.
Element x y z (fractional)
Co (0.5000, 0.2489, 0.7319)  1 N 2.07, 2 Co 2.12-2.14
Co (0.0000, 0.7489, 0.2681)  1 N 2.07, 2 Co 2.12-2.14
Co (0.5000, 0.7511, 0.7319)  1 N 2.07, 2 Co 2.12-2.14
Co (0.0000, 0.2511, 0.2681)  1 N 2.07, 2 Co 2.12-2.14
N (0.0000, 0.5000, 0.6693)  3 Ti 2.05-2.24
N (0.0000, 0.0000, 0.0377)  2 Ti 2.01, 2 Co 2.07
N (0.5000, 0.0000, 0.3307)  3 Ti 2.05-2.24
N (0.5000, 0.5000, 0.9623)  2 Ti 2.01, 2 Co 2.07
Ti (0.0000, 0.0000, 0.5792)  2 N 2.24
Ti (0.0000, 0.5000, 0.9361)  3 N 2.01-2.05
Ti (0.5000, 0.0000, 0.0639)  3 N 2.01-2.05
Ti (0.5000, 0.5000, 0.4208)  2 N 2.24

***

[7]
A plane-wave DFT calculation with PBE was carried out for crystalline Ti6CoN4 at its relaxed geometry.

Cell: 3.0173 5.2987 15.8209 Å, 90.00 90.00 106.54°
Closest atoms and distances in Å follow each position.
Element x y z (fractional)
Ti (0.5000, 0.0000, 0.0000)  6 N 2.15
Ti (0.5000, 0.0000, 0.5000)  6 N 2.15
Ti (0.0411, 0.0822, 0.3466)  3 N 2.04-2.09
Ti (0.9589, 0.9178, 0.6534)  3 N 2.04-2.09
Ti (0.9589, 0.9178, 0.8466)  3 N 2.04-2.09
Ti (0.0411, 0.0822, 0.1534)  3 N 2.04-2.09
Ti (0.7764, 0.5529, 0.4202)  5 N 2.09-2.16
Ti (0.2236, 0.4471, 0.5798)  5 N 2.09-2.16
Ti (0.2236, 0.4471, 0.9202)  5 N 2.09-2.16
Ti (0.7764, 0.5529, 0.0798)  5 N 2.09-2.16
Ti (0.3431, 0.6862, 0.2500)  2 N 2.13, 2 Co 2.38
Ti (0.6569, 0.3138, 0.7500)  2 N 2.13, 2 Co 2.38
Co (0.6617, 0.3233, 0.2500)  6 Ti 2.38-2.47
Co (0.3383, 0.6767, 0.7500)  6 Ti 2.38-2.47
N (0.8624, 0.7248, 0.5403)  6 Ti 2.04-2.16
N (0.4072, 0.8144, 0.1220)  6 Ti 2.09-2.15
N (0.1376, 0.2752, 0.4597)  6 Ti 2.04-2.16
N (0.5928, 0.1856, 0.8780)  6 Ti 2.09-2.15
N (0.8624, 0.7248, 0.9597)  6 Ti 2.04-2.16
N (0.1376, 0.2752, 0.0403)  6 Ti 2.04-2.16
N (0.5928, 0.1856, 0.6220)  6 Ti 2.09-2.15
N (0.4072, 0.8144, 0.3780)  6 Ti 2.09-2.15

***

[8]
A plane-wave DFT calculation with PBE was carried out for crystalline Ti7Co2N2 at its relaxed geometry.

Cell: 2.8735 7.6369 7.6369 Å, 61.64 79.16 79.16°
Closest atoms and distances in Å follow each position.
Element x y z (fractional)
Ti (0.8038, 0.0995, 0.2928)  3 N 2.28-2.37
Ti (0.8701, 0.3722, 0.8876)  2 N 2.12
Ti (0.5000, 0.9597, 0.0403)  2 Co 2.42
Ti (0.6435, 0.4705, 0.2426)  2 N 2.14
Ti (0.3565, 0.7574, 0.5295)  2 N 2.14
Ti (0.1962, 0.7072, 0.9005)  3 N 2.28-2.37
Ti (0.1299, 0.1124, 0.6278)  2 N 2.12
Co (0.0000, 0.7110, 0.2890)  6 Ti 2.42-2.45
Co (0.5000, 0.3924, 0.6076)  6 Ti 2.49-2.52
N (0.7329, 0.9029, 0.6313)  7 Ti 2.12-2.37
N (0.2671, 0.3687, 0.0971)  7 Ti 2.12-2.37

***

[9]
A plane-wave DFT calculation with PBE was carried out for crystalline Ti12Co5N2 at its relaxed geometry.

Cell: 5.8786 8.1778 6.7026 Å, 115.44 90.00 111.06°
Closest atoms and distances in Å follow each position.
Element x y z (fractional)
Ti (0.0175, 0.0349, 0.2075)  2 N 2.03, 1 Co 2.10
Ti (0.1078, 0.6944, 0.8539)  1 N 2.07
Ti (0.5866, 0.6944, 0.8539)  1 N 2.07
Ti (0.1067, 0.7173, 0.3569)  3 Co 2.41-2.59
Ti (0.6106, 0.7173, 0.3569)  3 Co 2.41-2.59
Ti (0.4965, 0.9930, 0.7570)  2 N 2.11
Ti (0.5035, 0.0070, 0.2430)  2 N 2.11
Ti (0.8933, 0.2827, 0.6431)  3 Co 2.41-2.59
Ti (0.3894, 0.2827, 0.6431)  3 Co 2.41-2.59
Ti (0.8922, 0.3056, 0.1461)  1 N 2.07
Ti (0.4134, 0.3056, 0.1461)  1 N 2.07
Ti (0.9825, 0.9651, 0.7925)  2 N 2.03, 1 Co 2.10
Co (0.2529, 0.5059, 0.4790)  8 Ti 2.55-2.82
Co (0.2566, 0.5131, 0.0265)  8 Ti 2.52-2.77
Co (0.0000, 0.0000, 0.5000)  2 Ti 2.10
Co (0.7434, 0.4869, 0.9735)  8 Ti 2.52-2.77
Co (0.7471, 0.4941, 0.5210)  8 Ti 2.55-2.82
N (0.7324, 0.0000, 0.0000)  6 Ti 2.03-2.11
N (0.2676, 0.0000, 0.0000)  6 Ti 2.03-2.11

***

[10]
A plane-wave DFT calculation with PBE was carried out for crystalline Ti2CoN at its relaxed geometry.

Cell: 5.5545 5.5545 5.3021 Å, 58.41 58.41 90.00°
Closest atoms and distances in Å follow each position.
Element x y z (fractional)
N (0.5000, 0.5000, 0.0000)  4 Ti 1.97
N (0.2500, 0.7500, 0.5000)  4 Ti 1.97
Co (0.0000, 0.0000, 0.0000)  4 Ti 2.37
Co (0.7500, 0.2500, 0.5000)  4 Ti 2.37
Ti (0.5676, 0.1250, 0.2500)  2 N 1.97
Ti (0.1824, 0.6250, 0.2500)  2 N 1.97
Ti (0.3750, 0.4324, 0.7500)  2 N 1.97
Ti (0.8750, 0.8176, 0.7500)  2 N 1.97

***

[11]
A plane-wave DFT calculation with PBE was carried out for crystalline TiCo2N at its relaxed geometry.

Cell: 2.7736 2.7736 7.0917 Å, 78.72 78.72 60.00°
Closest atoms and distances in Å follow each position.
Element x y z (fractional)
N (0.5000, 0.5000, 0.5000)  6 Co 1.91
Co (0.1160, 0.1160, 0.6520)  3 N 1.91
Co (0.8840, 0.8840, 0.3480)  3 N 1.91
Ti (0.0000, 0.0000, 0.0000)  2 Co 2.40

***

[12]
A plane-wave DFT calculation with PBE was carried out for crystalline YTi2CoN at its relaxed geometry.

Cell: 4.2078 5.6356 4.2078 Å, 90.00 90.00 90.00°
Closest atoms and distances in Å follow each position.
Element x y z (fractional)
Y (0.0000, 0.5000, 0.0000)  2 Co 2.82, 4 N 2.98
N (0.5000, 0.5000, 0.5000)  4 Y 2.98
Co (0.0000, 0.0000, 0.0000)  4 Ti 2.10
Ti (0.0000, 0.0000, 0.5000)  2 Co 2.10
Ti (0.5000, 0.0000, 0.0000)  2 Co 2.10

***

[13]
A plane-wave DFT calculation with PBE was carried out for crystalline TlCo2N at its relaxed geometry.

Summary:
excess energy over the best structure of this formula in the dataset: 104.9 kJ/mol of atoms

Cell: 4.2307 4.2307 4.2307 Å, 60.00 60.00 60.00°
Closest atoms and distances in Å follow each position.
Element x y z (fractional)
Tl (0.5000, 0.5000, 0.5000)  8 Co 2.59
Co (0.2500, 0.2500, 0.2500)  4 Tl 2.59, 4 N 2.59
Co (0.7500, 0.7500, 0.7500)  4 Tl 2.59, 4 N 2.59
N (0.0000, 0.0000, 0.0000)  8 Co 2.59

***

[14]
A plane-wave DFT calculation with PBE was carried out for crystalline Tl3CoN at its relaxed geometry.

Summary:
excess energy over the best structure of this formula in the dataset: 0.0 kJ/mol of atoms

Cell: 5.0633 5.0633 5.0633 Å, 90.00 90.00 90.00°
Closest atoms and distances in Å follow each position.
Element x y z (fractional)
Tl (0.0000, 0.5000, 0.0000)  2 Co 2.53
Tl (0.0000, 0.0000, 0.5000)  2 Co 2.53
Tl (0.5000, 0.0000, 0.0000)  2 Co 2.53
Co (0.0000, 0.0000, 0.0000)  6 Tl 2.53
N (0.5000, 0.5000, 0.5000)  12 Tl 3.58

***

[15]
A plane-wave DFT calculation with PBE was carried out for crystalline TlCoN3 at its relaxed geometry.

Cell: 3.7943 3.7943 3.7943 Å, 90.00 90.00 90.00°
Closest atoms and distances in Å follow each position.
Element x y z (fractional)
Tl (0.5000, 0.5000, 0.5000)  12 N 2.68
Co (0.0000, 0.0000, 0.0000)  6 N 1.90
N (0.0000, 0.5000, 0.0000)  2 Co 1.90
N (0.0000, 0.0000, 0.5000)  2 Co 1.90
N (0.5000, 0.0000, 0.0000)  2 Co 1.90

***

[16]
A plane-wave DFT calculation with PBE was carried out for crystalline TlCoN at its relaxed geometry.

Cell: 3.4398 3.4398 8.7187 Å, 90.00 90.00 90.00°
Closest atoms and distances in Å follow each position.
Element x y z (fractional)
Tl (0.0000, 0.5000, 0.8252)  4 N 3.14, 4 Co 3.32, 4 Tl 3.44
Tl (0.5000, 0.0000, 0.1748)  4 N 3.14, 4 Co 3.32, 4 Tl 3.44
Co (0.0000, 0.0000, 0.5000)  4 N 1.92
Co (0.5000, 0.5000, 0.5000)  4 N 1.92
N (0.0000, 0.5000, 0.4025)  4 Co 1.92
N (0.5000, 0.0000, 0.5975)  4 Co 1.92

***

[17]
A plane-wave DFT calculation with PBE was carried out for crystalline TlCoN3 at its relaxed geometry.

Cell: 4.2112 4.2112 4.2112 Å, 90.00 90.00 90.00°
Closest atoms and distances in Å follow each position.
Element x y z (fractional)
Tl (0.0000, 0.0000, 0.0000)  6 N 2.11
Co (0.5000, 0.5000, 0.5000)  12 N 2.98
N (0.0000, 0.5000, 0.0000)  2 Tl 2.11
N (0.0000, 0.0000, 0.5000)  2 Tl 2.11
N (0.5000, 0.0000, 0.0000)  2 Tl 2.11

***

[18]
A plane-wave DFT calculation with PBE was carried out for crystalline Tl3CoN at its relaxed geometry.

Summary:
excess energy over the best structure of this formula in the dataset: 10.2 kJ/mol of atoms

Cell: 4.9058 4.9058 4.9058 Å, 90.00 90.00 90.00°
Closest atoms and distances in Å follow each position.
Element x y z (fractional)
Tl (0.0000, 0.5000, 0.0000)  2 N 2.45
Tl (0.0000, 0.0000, 0.5000)  2 N 2.45
Tl (0.5000, 0.0000, 0.0000)  2 N 2.45
Co (0.5000, 0.5000, 0.5000)  12 Tl 3.47
N (0.0000, 0.0000, 0.0000)  6 Tl 2.45

***

[19]
A plane-wave DFT calculation with PBE was carried out for crystalline TlCo3N at its relaxed geometry.

Summary:
excess energy over the best structure of this formula in the dataset: 0.0 kJ/mol of atoms

Cell: 3.8866 3.8866 3.8866 Å, 90.00 90.00 90.00°
Closest atoms and distances in Å follow each position.
Element x y z (fractional)
Tl (0.5000, 0.5000, 0.5000)  12 Co 2.75
Co (0.0000, 0.5000, 0.0000)  2 N 1.94
Co (0.0000, 0.0000, 0.5000)  2 N 1.94
Co (0.5000, 0.0000, 0.0000)  2 N 1.94
N (0.0000, 0.0000, 0.0000)  6 Co 1.94

***

[20]
A plane-wave DFT calculation with PBE was carried out for crystalline TlCo2N at its relaxed geometry.

Summary:
excess energy over the best structure of this formula in the dataset: 0.0 kJ/mol of atoms

Cell: 5.1760 5.1760 5.8227 Å, 63.61 63.61 90.00°
Closest atoms and distances in Å follow each position.
Element x y z (fractional)
Tl (0.0000, 0.0000, 0.0000)  4 Co 2.73
Tl (0.7500, 0.2500, 0.5000)  4 Co 2.73
Co (0.4665, 0.1250, 0.2500)  2 N 1.78
Co (0.2835, 0.6250, 0.2500)  2 N 1.78
Co (0.3750, 0.5335, 0.7500)  2 N 1.78
Co (0.8750, 0.7165, 0.7500)  2 N 1.78
N (0.5000, 0.5000, 0.0000)  4 Co 1.78
N (0.2500, 0.7500, 0.5000)  4 Co 1.78

***

Number 1: calculated total energy -8.2762 eV/atom, magnetization 0.0 μB per cell. Number 2: calculated total energy -7.8016 eV/atom, magnetization 0.0 μB per cell. Number 3: calculated total energy -8.4224 eV/atom, magnetization 0.8 μB per cell. Number 4: calculated total energy -7.5391 eV/atom, magnetization 0.0 μB per cell. Number 5: calculated total energy -8.9592 eV/atom, magnetization 2.9 μB per cell. Number 6: calculated total energy -8.1439 eV/atom, magnetization 4.0 μB per cell. Number 7: calculated total energy -9.3838 eV/atom, magnetization 0.0 μB per cell. Number 8: calculated total energy -8.4230 eV/atom, magnetization 0.0 μB per cell. Number 9: calculated total energy -8.1820 eV/atom, magnetization 0.0 μB per cell. Number 10: calculated total energy -8.3273 eV/atom, magnetization 0.0 μB per cell. Number 11: calculated total energy -7.3783 eV/atom, magnetization 0.0 μB per cell. Number 12: calculated total energy -6.7957 eV/atom, magnetization 0.0 μB per cell. Number 13: calculated total energy -4.8290 eV/atom, magnetization 3.8 μB per cell. Number 14: calculated total energy -3.4577 eV/atom, magnetization 2.4 μB per cell. Number 15: calculated total energy -5.3657 eV/atom, magnetization 0.0 μB per cell. Number 16: calculated total energy -5.6653 eV/atom, magnetization 1.0 μB per cell. Number 17: calculated total energy -3.9188 eV/atom, magnetization 1.3 μB per cell. Number 18: calculated total energy -3.3521 eV/atom, magnetization 1.7 μB per cell. Number 19: calculated total energy -6.2291 eV/atom, magnetization 2.9 μB per cell. Number 20: calculated total energy -5.9167 eV/atom, magnetization 0.0 μB per cell.